Computed, not measured: an optimized crystal structure of HoErPb2 at the PBE level of DFT.

a b c (Å): 4.493 6.413 16.776
angles (deg): 90.00 90.00 90.00
Fractional coordinates of all 16 atoms:
Ho  0.750  0.120  0.155
Ho  0.250  0.880  0.845
Ho  0.750  0.620  0.345
Ho  0.250  0.380  0.655
Er  0.250  0.635  0.091
Er  0.250  0.135  0.409
Er  0.750  0.365  0.909
Er  0.750  0.865  0.591
Pb  0.750  0.322  0.516
Pb  0.250  0.678  0.484
Pb  0.750  0.822  0.984
Pb  0.250  0.178  0.016
Pb  0.750  0.121  0.748
Pb  0.250  0.379  0.248
Pb  0.750  0.621  0.752
Pb  0.250  0.879  0.252

Calculated values
Formation enthalpy at 0 K: -1.44 eV per formula unit
Total DFT energy (no corrections): -4.4981 eV per atom


Computed, not measured: an optimized crystal structure of Ho3ErPb at the PBE level of DFT.

a b c (Å): 9.134 9.134 11.752
angles (deg): 107.50 107.50 38.78
Fractional coordinates of all 20 atoms:
Ho  0.999  0.809  0.753
Ho  0.191  0.001  0.747
Ho  0.001  0.191  0.247
Ho  0.809  0.999  0.253
Ho  0.761  0.650  0.746
Ho  0.350  0.239  0.754
Ho  0.239  0.350  0.254
Ho  0.650  0.761  0.246
Ho  0.309  0.791  0.007
Ho  0.209  0.691  0.493
Ho  0.791  0.309  0.507
Ho  0.691  0.209  0.993
Er  0.917  0.384  0.995
Er  0.616  0.083  0.505
Er  0.083  0.616  0.005
Er  0.384  0.917  0.495
Pb  0.000  0.500  0.500
Pb  0.500  0.000  0.000
Pb  0.416  0.584  0.250
Pb  0.584  0.416  0.750

Calculated values
Formation enthalpy at 0 K: -0.98 eV per formula unit
Total DFT energy (no corrections): -4.5978 eV per atom


Computed, not measured: an optimized crystal structure of Ho3ErPb12 at the PBE level of DFT.

a b c (Å): 4.907 4.907 19.208
angles (deg): 90.00 90.00 90.00
Fractional coordinates of all 16 atoms:
Ho  0.000  0.000  0.250
Ho  0.000  0.000  0.500
Ho  0.000  0.000  0.750
Er  0.000  0.000  0.000
Pb  0.500  0.500  0.000
Pb  0.500  0.500  0.250
Pb  0.500  0.500  0.500
Pb  0.500  0.500  0.750
Pb  0.500  0.000  0.125
Pb  0.500  0.000  0.375
Pb  0.500  0.000  0.625
Pb  0.500  0.000  0.875
Pb  0.000  0.500  0.125
Pb  0.000  0.500  0.375
Pb  0.000  0.500  0.625
Pb  0.000  0.500  0.875

Calculated values
Formation enthalpy at 0 K: -4.13 eV per formula unit
Total DFT energy (no corrections): -4.1829 eV per atom


Computed, not measured: an optimized crystal structure of HoEr4Pb at the PBE level of DFT.

a b c (Å): 5.271 6.724 11.598
angles (deg): 90.00 103.14 90.00
Fractional coordinates of all 12 atoms:
Ho  0.856  0.741  0.712
Ho  0.144  0.241  0.288
Er  0.856  0.237  0.712
Er  0.144  0.737  0.288
Er  0.440  0.989  0.879
Er  0.560  0.489  0.121
Er  0.711  0.490  0.422
Er  0.289  0.990  0.578
Er  0.713  0.990  0.426
Er  0.287  0.490  0.574
Pb  0.575  0.987  0.151
Pb  0.425  0.487  0.849

Calculated values
Formation enthalpy at 0 K: 0.20 eV per formula unit
Total DFT energy (no corrections): -4.3892 eV per atom


Computed, not measured: an optimized crystal structure of Ho2Er3Pb4 at the PBE level of DFT.

a b c (Å): 4.913 6.780 8.501
angles (deg): 104.55 106.80 90.00
Fractional coordinates of all 9 atoms:
Ho  0.670  0.066  0.340
Ho  0.330  0.934  0.660
Er  0.113  0.589  0.226
Er  0.887  0.411  0.774
Er  0.000  0.000  0.000
Pb  0.490  0.717  0.980
Pb  0.248  0.314  0.495
Pb  0.510  0.283  0.020
Pb  0.752  0.686  0.505

Calculated values
Formation enthalpy at 0 K: -3.59 eV per formula unit
Total DFT energy (no corrections): -4.5853 eV per atom


Computed, not measured: an optimized crystal structure of Ho12Er3Pb5 at the PBE level of DFT.

a b c (Å): 15.836 15.836 15.836
angles (deg): 109.47 109.47 109.47
Fractional coordinates of all 80 atoms:
Er  0.750  0.375  0.125
Er  0.875  0.750  0.125
Er  0.375  0.750  0.625
Er  0.250  0.125  0.375
Er  0.875  0.125  0.250
Er  0.375  0.625  0.250
Er  0.625  0.375  0.750
Er  0.125  0.875  0.750
Er  0.750  0.875  0.625
Er  0.625  0.250  0.375
Er  0.125  0.250  0.875
Er  0.250  0.625  0.875
Pb  0.125  0.375  0.250
Pb  0.000  0.500  0.000
Pb  0.000  0.000  0.000
Pb  0.375  0.250  0.125
Pb  0.500  0.000  0.500
Pb  0.500  0.500  0.000
Pb  0.125  0.750  0.375
Pb  0.750  0.125  0.875
Pb  0.750  0.625  0.375
Pb  0.375  0.125  0.750
Pb  0.625  0.875  0.250
Pb  0.500  0.500  0.500
Pb  0.500  0.000  0.000
Pb  0.000  0.000  0.500
Pb  0.250  0.375  0.625
Pb  0.250  0.875  0.125
Pb  0.000  0.500  0.500
Pb  0.875  0.250  0.625
Pb  0.625  0.750  0.875
Pb  0.875  0.625  0.750
Ho  0.722  0.124  0.053
Ho  0.330  0.553  0.429
Ho  0.947  0.376  0.278
Ho  0.553  0.222  0.124
Ho  0.599  0.722  0.670
Ho  0.947  0.571  0.170
Ho  0.330  0.778  0.401
Ho  0.071  0.901  0.124
Ho  0.571  0.947  0.670
Ho  0.722  0.599  0.170
Ho  0.778  0.447  0.376
Ho  0.830  0.929  0.053
Ho  0.124  0.722  0.553
Ho  0.376  0.429  0.099
Ho  0.099  0.929  0.376
Ho  0.401  0.124  0.571
Ho  0.099  0.170  0.222
Ho  0.447  0.670  0.071
Ho  0.830  0.901  0.278
Ho  0.124  0.401  0.071
Ho  0.376  0.947  0.778
Ho  0.571  0.624  0.401
Ho  0.929  0.830  0.553
Ho  0.778  0.330  0.901
Ho  0.429  0.376  0.599
Ho  0.071  0.170  0.447
Ho  0.222  0.670  0.099
Ho  0.170  0.099  0.722
Ho  0.624  0.053  0.222
Ho  0.876  0.599  0.929
Ho  0.553  0.330  0.929
Ho  0.599  0.876  0.429
Ho  0.901  0.830  0.778
Ho  0.901  0.071  0.624
Ho  0.876  0.278  0.447
Ho  0.170  0.071  0.947
Ho  0.624  0.571  0.901
Ho  0.429  0.053  0.330
Ho  0.278  0.401  0.830
Ho  0.222  0.553  0.624
Ho  0.929  0.099  0.876
Ho  0.670  0.222  0.599
Ho  0.447  0.778  0.876
Ho  0.053  0.429  0.830
Ho  0.401  0.278  0.330
Ho  0.053  0.624  0.722
Ho  0.670  0.447  0.571
Ho  0.278  0.876  0.947

Calculated values
Formation enthalpy at 0 K: 8.91 eV per formula unit
Total DFT energy (no corrections): -3.9126 eV per atom


> Look up the formation enthalpy at 0 K of the fifth one.

-3.59 eV per formula unit


> Among the records above, which one has the highest formation enthalpy at 0 K?

Ho12Er3Pb5


Copy entry 4 word for word.
Computed, not measured: an optimized crystal structure of HoEr4Pb at the PBE level of DFT.

a b c (Å): 5.271 6.724 11.598
angles (deg): 90.00 103.14 90.00
Fractional coordinates of all 12 atoms:
Ho  0.856  0.741  0.712
Ho  0.144  0.241  0.288
Er  0.856  0.237  0.712
Er  0.144  0.737  0.288
Er  0.440  0.989  0.879
Er  0.560  0.489  0.121
Er  0.711  0.490  0.422
Er  0.289  0.990  0.578
Er  0.713  0.990  0.426
Er  0.287  0.490  0.574
Pb  0.575  0.987  0.151
Pb  0.425  0.487  0.849

Calculated values
Formation enthalpy at 0 K: 0.20 eV per formula unit
Total DFT energy (no corrections): -4.3892 eV per atom


> Which value of formation enthalpy at 0 K does entry 2 give?

-0.98 eV per formula unit